# 1
## K2NiIO4 (GGA+U)

Data for crystalline K2NiIO4 at its relaxed geometry.

Cell lengths 6.2452, 6.2452, 7.2161 Å; angles 90.00, 90.00, 90.00 degrees
With the nearest neighbours (Å) after each atom.
Space group I-4 (No. 82)
Asymmetric unit:
K 0.0000 0.0000 0.0000 (multiplicity 2)  8 O 3.00-3.03
K 0.0000 0.5000 0.2500 (multiplicity 2)  4 O 2.70
Ni 0.0000 0.5000 0.7500 (multiplicity 2)  4 O 2.08
I 0.0000 0.0000 0.5000 (multiplicity 2)  4 O 2.00
O 0.1480 0.7751 0.6511 (multiplicity 8)  1 I 2.00, 1 Ni 2.08

# 2
## KNiIO2 (GGA+U)

Data for crystalline KNiIO2 at its relaxed geometry.

Properties
Energy above the most stable polymorph in this dataset: 4.68 eV per formula unit

Cell lengths 4.5895, 4.5895, 7.1502 Å; angles 90.00, 90.00, 90.00 degrees
With the nearest neighbours (Å) after each atom.
Space group P4/mmm (No. 123)
Asymmetric unit:
K 0.0000 0.0000 0.0000 (multiplicity 1)  4 O 2.29
Ni 0.5000 0.5000 0.5000 (multiplicity 1)  4 I 3.25
I 0.0000 0.0000 0.5000 (multiplicity 1)  4 Ni 3.25, 2 K 3.58
O 0.0000 0.5000 0.0000 (multiplicity 2)  2 K 2.29

Calculated calculated volume (Å³/cell), listed in the same order as above: 281.4; 150.6
Calculated E_tot (eV for the cell shown), listed in the same order as above: -63.8; -11.5
Calculated magnetic moment (μB/atom), listed in the same order as above: 0.114; 0.800